! Sn2SbAu2 | the Alexandria database | PBE | relaxed; values from VASP
! Calculated volume: 242 Å³/cell
! Space-group type: No. 127
! Calculated density: 10.32 g cm⁻³
! Total magnetic moment: 0.0000 μB/atom
! DFT total energy: -18.411 eV per formula unit
! ΔE to the lowest computed polymorph: 127.8 meV/atom
! Formation energy (no corrections): 0.27 eV/f.u.
&SYSTEM
  ibrav = 0, nat = 10, ntyp = 3
/
ATOMIC_SPECIES
Sb 121.76 Sb.upf
Au 196.97 Au.upf
Sn 118.71 Sn.upf
CELL_PARAMETERS angstrom
-4.722 0.561 -7.001
6.510 -2.816 -4.616
-1.054 -3.184 0.456
ATOMIC_POSITIONS angstrom
Sb 0.000 0.000 0.000
Sb 0.894 -1.127 -5.809
Au 2.936 -3.262 -3.430
Au 2.317 -3.735 -8.166
Au -2.201 -2.177 -7.732
Au -1.583 -1.704 -2.996
Sn 3.817 -2.116 -5.955
Sn 0.623 -1.475 -8.865
Sn -2.028 -0.139 -5.662
Sn 1.165 -0.780 -2.752

! Sn3SbAu4 | the Alexandria database | PBE | relaxed; values from VASP
! Calculated volume: 191 Å³/cell
! Space-group type: No. 139
! Calculated density: 11.02 g cm⁻³
! Total magnetic moment: 0.0000 μB/atom
! DFT total energy: -30.187 eV per formula unit
! Formation energy (no corrections): -0.95 eV/f.u.
&SYSTEM
  ibrav = 0, nat = 8, ntyp = 3
/
ATOMIC_SPECIES
Sb 121.76 Sb.upf
Au 196.97 Au.upf
Sn 118.71 Sn.upf
CELL_PARAMETERS angstrom
-1.364 -2.371 -5.103
3.688 3.590 -2.653
3.015 -4.417 4.531
ATOMIC_POSITIONS angstrom
Sb 3.015 -4.417 4.531
Au 3.495 -4.994 -1.898
Au 2.333 -5.603 1.980
Au 2.102 -1.916 0.329
Au 3.237 -1.282 -3.553
Sn 1.162 0.609 -3.878
Sn 1.407 -3.090 -2.225
Sn 3.932 -0.109 -1.000

> The highest calculated volume belongs to which entry?

Sn2SbAu2